This record from the Alexandria database describes a geometry-optimized NaVFeS3 structure. The functional is PBE.

Properties
- DFT total energy (eV/atom) = -6.07
- crystal system = monoclinic
- DOS at the Fermi energy (states/eV per cell) = 2.70

Structure (POSCAR):
```
NaVFeS3
1.0
7.4308 0.0000 0.0000
0.0000 3.3755 0.0000
-3.3020 0.0000 8.3678
Na V Fe S
2 2 2 6
Cartesian
1.0583 0.8439 1.9188 Na
3.0705 2.5316 6.4489 Na
-0.7480 2.5316 5.6253 V
4.8768 0.8439 2.7425 V
0.1517 0.8439 7.4679 Fe
3.9771 2.5316 0.8999 Fe
-0.8458 2.5316 3.1473 S
-1.3247 2.5316 7.9544 S
0.9086 0.8439 5.3814 S
3.2202 2.5316 2.9863 S
5.4535 0.8439 0.4134 S
4.9746 0.8439 5.2205 S
```